Entry from the Alexandria database: a relaxed structure of Li3FeF6 (PBE+U).

* relative energy among the computed polymorphs: 13 meV/atom
* D(E_F): 0.000 states/eV per atom

Unit cell a=5.1971 b=5.1308 c=9.3009 alpha=56.79 beta=90.00 gamma=90.00
Closest atoms and distances in Å follow each position.
Positions (direct):
F 0.6776 0.6224 0.5527  2 Li 1.94-1.99, 1 Fe 1.95
F 0.8224 0.6224 0.0527  2 Li 1.94-1.99, 1 Fe 1.95
F 0.6893 0.2542 0.9093  1 Fe 1.95, 2 Li 1.99-2.11
F 0.4034 0.0957 0.2706  1 Fe 1.97, 2 Li 1.99-2.06
F 0.1893 0.7458 0.5907  1 Fe 1.95, 2 Li 1.99-2.11
F 0.5966 0.9043 0.7294  1 Fe 1.97, 2 Li 1.99-2.06
F 0.8107 0.2542 0.4093  1 Fe 1.95, 2 Li 1.99-2.11
F 0.9034 0.9043 0.2294  1 Fe 1.97, 2 Li 1.99-2.06
F 0.1776 0.3776 0.9473  2 Li 1.94-1.99, 1 Fe 1.95
F 0.3107 0.7458 0.0907  1 Fe 1.95, 2 Li 1.99-2.11
F 0.0966 0.0957 0.7706  1 Fe 1.97, 2 Li 1.99-2.06
F 0.3224 0.3776 0.4473  2 Li 1.94-1.99, 1 Fe 1.95
Li 0.0334 0.2674 0.2310  4 F 1.99-2.06
Li 0.9666 0.7326 0.7690  4 F 1.99-2.06
Li 0.5334 0.7326 0.2690  4 F 1.99-2.06
Li 0.4666 0.2674 0.7310  4 F 1.99-2.06
Li 0.0000 0.5000 0.5000  4 F 1.94-2.11
Li 0.5000 0.5000 0.0000  4 F 1.94-2.11
Fe 0.0000 0.0000 0.0000  6 F 1.95-1.97
Fe 0.5000 0.0000 0.5000  6 F 1.95-1.97